Record 1
GGA-PBE Cs4Pr3HfS8, optimized geometry; energy relative to the elements, uncorrected = -1677 meV/atom
1.0
4.154 2.398 8.099
-4.154 2.398 8.099
0.000 -4.796 8.099
Cs Pr Hf S
4 3 1 8
direct
0.000 0.000 0.000
0.000 0.500 0.500
0.500 0.000 0.500
0.500 0.500 0.000
0.000 0.000 0.500
0.000 0.500 0.000
0.500 0.000 0.000
0.500 0.500 0.500
0.231 0.231 0.231
0.256 0.713 0.713
0.287 0.287 0.744
0.287 0.744 0.287
0.713 0.256 0.713
0.713 0.713 0.256
0.744 0.287 0.287
0.769 0.769 0.769

---

Record 2
GGA-PBE Cs3Pr2HfS6, optimized geometry; energy relative to the elements, uncorrected = -1646 meV/atom
1.0
3.563 -6.170 0.000
3.563 6.170 0.000
-2.382 0.000 8.083
Cs Pr Hf S
3 2 1 6
direct
0.000 0.000 0.000
0.329 0.671 0.000
0.671 0.329 0.000
0.166 0.834 0.500
0.834 0.166 0.500
0.500 0.500 0.500
0.135 0.439 0.317
0.258 0.258 0.685
0.439 0.135 0.317
0.561 0.865 0.683
0.742 0.742 0.315
0.865 0.561 0.683

---

Record 3
GGA-PBE Cs2Pr2HfS6, optimized geometry; energy relative to the elements, uncorrected = -1758 meV/atom
1.0
3.550 -6.074 0.000
3.550 6.074 0.000
-2.424 0.000 8.245
Cs Pr Hf S
2 2 1 6
direct
0.171 0.829 0.000
0.829 0.171 0.000
0.334 0.666 0.500
0.666 0.334 0.500
0.000 0.000 0.500
0.061 0.365 0.678
0.240 0.240 0.323
0.365 0.061 0.678
0.635 0.939 0.322
0.760 0.760 0.677
0.939 0.635 0.322

---

Record 4
GGA-PBE CsPrHfS4, optimized geometry; energy relative to the elements, uncorrected = -1673 meV/atom
1.0
7.080 0.000 0.000
0.000 7.094 0.000
-3.067 0.000 9.208
Cs Pr Hf S
2 2 2 8
direct
0.222 0.250 0.439
0.778 0.750 0.561
0.291 0.250 0.952
0.709 0.750 0.048
0.257 0.750 0.161
0.743 0.250 0.839
0.036 0.750 0.923
0.051 0.750 0.313
0.494 0.002 0.190
0.494 0.498 0.190
0.506 0.502 0.810
0.506 0.998 0.810
0.949 0.250 0.687
0.964 0.250 0.077

---

Record 5
GGA-PBE Cs3Pr3HfSe8, optimized geometry; energy relative to the elements, uncorrected = -1648 meV/atom
1.0
4.286 2.474 8.579
-4.286 2.474 8.579
0.000 -4.949 8.579
Cs Pr Hf Se
3 3 1 8
direct
0.000 0.500 0.500
0.500 0.000 0.500
0.500 0.500 0.000
0.000 0.000 0.500
0.000 0.500 0.000
0.500 0.000 0.000
0.500 0.500 0.500
0.231 0.231 0.231
0.255 0.713 0.713
0.287 0.287 0.745
0.287 0.745 0.287
0.713 0.255 0.713
0.713 0.713 0.255
0.745 0.287 0.287
0.769 0.769 0.769

---

Record 6
GGA-PBE Cs2Pr2HfSe6, optimized geometry; energy relative to the elements, uncorrected = -1626 meV/atom
1.0
3.675 -6.292 0.000
3.675 6.292 0.000
-2.557 0.000 8.570
Cs Pr Hf Se
2 2 1 6
direct
0.172 0.828 0.000
0.828 0.172 0.000
0.333 0.667 0.500
0.667 0.333 0.500
0.000 0.000 0.500
0.065 0.370 0.684
0.239 0.239 0.318
0.370 0.065 0.684
0.630 0.935 0.316
0.761 0.761 0.682
0.935 0.630 0.316

---

Record 7
GGA-PBE Cs4Pr3HfTe8, optimized geometry; energy relative to the elements, uncorrected = -1256 meV/atom
1.0
4.579 2.644 8.974
-4.579 2.644 8.974
0.000 -5.287 8.974
Cs Pr Hf Te
4 3 1 8
direct
0.000 0.000 0.000
0.000 0.500 0.500
0.500 0.000 0.500
0.500 0.500 0.000
0.000 0.000 0.500
0.000 0.500 0.000
0.500 0.000 0.000
0.500 0.500 0.500
0.234 0.234 0.234
0.254 0.718 0.718
0.282 0.282 0.746
0.282 0.746 0.282
0.718 0.254 0.718
0.718 0.718 0.254
0.746 0.282 0.282
0.766 0.766 0.766

---

Record 8
GGA-PBE CsHfPt3, optimized geometry; energy of formation from the pure elements = 22.6 kJ per mole of atoms; polymorph energy (0 for the lowest one) = 0 meV/atom
1.0
5.161 0.000 0.000
0.000 5.161 0.000
0.000 0.000 5.161
Cs Hf Pt
1 1 3
direct
0.000 0.000 0.000
0.500 0.500 0.500
0.000 0.500 0.500
0.500 0.000 0.500
0.500 0.500 0.000